Entry from the Alexandria database: a geometry-optimized Na6MoP4 structure (PBE-GGA).

Calculated values
Uncorrected energy ... -89.75 eV per cell
Volume ... 23.654 Å³/atom
ΔH_f (0 K) ... -408 meV/atom

Lattice parameters (Å, degrees): 7.168 9.156 9.156 120.00 90.00 90.00
Fractional positions:
P 0.849 0.194 0.806
P 0.349 0.806 0.194
P 0.849 0.194 0.389
P 0.925 0.667 0.333
P 0.349 0.806 0.611
P 0.849 0.611 0.806
P 0.425 0.333 0.667
P 0.349 0.389 0.194
Mo 0.247 0.667 0.333
Mo 0.747 0.333 0.667
Na 0.635 0.935 0.468
Na 0.956 0.295 0.148
Na 0.456 0.148 0.295
Na 0.456 0.705 0.852
Na 0.956 0.852 0.705
Na 0.456 0.148 0.852
Na 0.135 0.065 0.532
Na 0.635 0.532 0.065
Na 0.635 0.532 0.468
Na 0.956 0.852 0.148
Na 0.135 0.468 0.532
Na 0.135 0.468 0.935